The following is a PBE-GGA calculation of In2AsS after structural relaxation, from the Alexandria database.

```
In2AsS
1.0
-4.731 0.597 -3.989
-3.593 -3.419 3.749
-6.028 3.836 2.877
As S In
2 2 4
direct
0.000 0.000 0.000
0.750 0.250 0.500
0.500 0.500 0.000
0.250 0.750 0.500
0.623 0.125 0.250
0.127 0.625 0.250
0.375 0.377 0.750
0.875 0.873 0.750
```

Computed properties:
Offset from the most stable computed form ... 4.1 kJ per mole of atoms
Space group ... I-42d (122)
DOS at the Fermi energy ... 1.5 states/eV/f.u.
Raw formation energy ... -0.227 eV/atom


The following is a PBE-GGA calculation of InAs2S after structural relaxation, from the Alexandria database.

```
InAs2S
1.0
0.000 3.430 3.430
3.430 0.000 3.430
3.430 3.430 0.000
As S In
2 1 1
direct
0.250 0.250 0.250
0.750 0.750 0.750
0.000 0.000 0.000
0.500 0.500 0.500
```

Computed properties:
Offset from the most stable computed form ... 22.9 kJ per mole of atoms
Space group ... Fm-3m (225)
DOS at the Fermi energy ... 2.8 states/eV/f.u.
Raw formation energy ... 0.449 eV/atom


The following is a PBE-GGA calculation of InAsS2 after structural relaxation, from the Alexandria database.

```
InAsS2
1.0
-5.528 1.277 5.990
-3.118 4.070 6.464
-5.813 4.351 3.916
As S In
1 2 1
direct
0.000 0.000 0.000
0.896 0.896 0.896
0.104 0.104 0.104
0.500 0.500 0.500
```

Computed properties:
Space group ... R-3m (166)
DOS at the Fermi energy ... 0.8 states/eV/f.u.
Raw formation energy ... -0.118 eV/atom


The following is a PBE-GGA calculation of InAsS2 after structural relaxation, from the Alexandria database.

```
InAsS2
1.0
-8.794 -0.497 -0.384
-7.921 -3.813 0.670
-8.176 -1.173 3.084
As S In
1 2 1
direct
0.500 0.500 0.500
0.891 0.891 0.891
0.109 0.109 0.109
0.000 0.000 0.000
```

Computed properties:
Space group ... R-3m (166)
DOS at the Fermi energy ... 1.4 states/eV/f.u.
Raw formation energy ... -0.051 eV/atom


The following is a PBE-GGA calculation of InAs2S after structural relaxation, from the Alexandria database.

```
InAs2S
1.0
-0.820 -1.618 -5.231
-4.246 -3.153 1.641
-6.920 3.011 -2.777
As S In
4 2 2
direct
0.578 0.125 0.250
0.172 0.625 0.250
0.375 0.422 0.750
0.875 0.828 0.750
0.500 0.500 0.000
0.250 0.750 0.500
0.000 0.000 0.000
0.750 0.250 0.500
```

Computed properties:
Offset from the most stable computed form ... 0.0 kJ per mole of atoms
Space group ... I-42d (122)
DOS at the Fermi energy ... 1.2 states/eV/f.u.
Raw formation energy ... 0.212 eV/atom


The following is a PBE-GGA calculation of InSbAsS after structural relaxation, from the Alexandria database.

```
InSbAsS
1.0
3.933 -0.002 0.010
-1.964 3.408 -0.010
-1.917 -1.164 9.174
In Sb As S
1 1 1 1
direct
0.225 0.996 0.221
0.204 0.490 0.694
0.428 0.099 0.527
0.472 0.617 0.088
```

Computed properties:
Space group ... Cm (8)
DOS at the Fermi energy ... 1.9 states/eV/f.u.
Raw formation energy ... -0.125 eV/atom